[1]
# KAlTl2In | Alexandria | PBE-GGA | relaxed
# E_form: 0.130 eV/atom
# Fermi-level density of states: 3.501 states/eV/cell
data_KAlTl2In
_chemical_formula_sum 'K1 Al1 Tl2 In1'
_cell_length_a 5.6556
_cell_length_b 5.6556
_cell_length_c 5.3391
_cell_angle_alpha 90.00
_cell_angle_beta 90.00
_cell_angle_gamma 90.00
_space_group_name_H-M_alt 'P 4/m m m'
_space_group_IT_number 123
_space_group_name_Hall '-P 4 2'
loop_
_atom_site_label
_atom_site_fract_x
_atom_site_fract_y
_atom_site_fract_z
_atom_site_occupancy
K1 0.0000 0.0000 0.0000 1
Al1 0.5000 0.5000 0.5000 1
Tl1 0.0000 0.5000 0.5000 1
In1 0.5000 0.5000 0.0000 1

[2]
# MgMoPd | Alexandria | PBE-GGA | relaxed
# E_form: 1.946 eV/atom
# Fermi-level density of states: 8.689 states/eV/cell
data_MgMoPd
_chemical_formula_sum 'Mg2 Mo2 Pd2'
_cell_length_a 4.8520
_cell_length_b 4.8520
_cell_length_c 9.6156
_cell_angle_alpha 90.00
_cell_angle_beta 90.00
_cell_angle_gamma 120.00
_space_group_name_H-M_alt 'P 63/m m c'
_space_group_IT_number 194
_space_group_name_Hall '-P 6c 2c'
loop_
_atom_site_label
_atom_site_fract_x
_atom_site_fract_y
_atom_site_fract_z
_atom_site_occupancy
Mg1 0.3333 0.6667 0.2500 1
Mo1 0.0000 0.0000 0.2500 1
Pd1 0.0000 0.0000 0.0000 1

[3]
# Si2WCl | Alexandria | PBE-GGA | relaxed
# Fermi-level density of states: 12.087 states/eV/cell
# formation energy without anion corrections: 0.783 eV/atom
data_Si2WCl
_chemical_formula_sum 'Si8 W4 Cl4'
_cell_length_a 6.2207
_cell_length_b 6.2207
_cell_length_c 6.2207
_cell_angle_alpha 90.00
_cell_angle_beta 90.00
_cell_angle_gamma 90.00
_space_group_name_H-M_alt 'F -4 3 m'
_space_group_IT_number 216
_space_group_name_Hall 'F -4 2 3'
loop_
_atom_site_label
_atom_site_fract_x
_atom_site_fract_y
_atom_site_fract_z
_atom_site_occupancy
Si1 0.0000 0.0000 0.0000 1
Si2 0.2500 0.2500 0.2500 1
W1 0.2500 0.2500 0.7500 1
Cl1 0.0000 0.0000 0.5000 1

[4]
# SmGd2Ho | Alexandria | PBE-GGA | relaxed
# E_form: 0.023 eV/atom
# Fermi-level density of states: 7.153 states/eV/cell
data_SmGd2Ho
_chemical_formula_sum 'Sm1 Gd2 Ho1'
_cell_length_a 5.0544
_cell_length_b 5.0544
_cell_length_c 5.0636
_cell_angle_alpha 90.00
_cell_angle_beta 90.00
_cell_angle_gamma 90.00
_space_group_name_H-M_alt 'P 4/m m m'
_space_group_IT_number 123
_space_group_name_Hall '-P 4 2'
loop_
_atom_site_label
_atom_site_fract_x
_atom_site_fract_y
_atom_site_fract_z
_atom_site_occupancy
Sm1 0.0000 0.0000 0.0000 1
Gd1 0.0000 0.5000 0.5000 1
Ho1 0.5000 0.5000 0.0000 1

> Which of these has the highest Fermi-level density of states?

Si2WCl

Copy entry 1 word for word.
# KAlTl2In | Alexandria | PBE-GGA | relaxed
# E_form: 0.130 eV/atom
# Fermi-level density of states: 3.501 states/eV/cell
data_KAlTl2In
_chemical_formula_sum 'K1 Al1 Tl2 In1'
_cell_length_a 5.6556
_cell_length_b 5.6556
_cell_length_c 5.3391
_cell_angle_alpha 90.00
_cell_angle_beta 90.00
_cell_angle_gamma 90.00
_space_group_name_H-M_alt 'P 4/m m m'
_space_group_IT_number 123
_space_group_name_Hall '-P 4 2'
loop_
_atom_site_label
_atom_site_fract_x
_atom_site_fract_y
_atom_site_fract_z
_atom_site_occupancy
K1 0.0000 0.0000 0.0000 1
Al1 0.5000 0.5000 0.5000 1
Tl1 0.0000 0.5000 0.5000 1
In1 0.5000 0.5000 0.0000 1

> The lowest Fermi-level density of states belongs to which entry?

KAlTl2In

> Which formula does entry 1 have?

KAlTl2In